Below is crystalline Li2Ti3MnS6 at its relaxed geometry, with properties calculated at the GGA-PBE level.

Results
The calculated total energy comes out at -6.362 eV per atom. The calculation puts the density of states at the Fermi level at 6.39 states/eV/f.u. The total magnetic moment comes out at 7.069 μB/cell. The theoretical density comes out at 3.52 g/cm³.

a b c (Å): 6.026 10.437 6.403
angles (deg): 90.00 108.31 90.00
Space group C2/m (No. 12)
One atom of each set of equivalent atoms:
Li: 0.000 0.163 0.000 x4
Ti: 0.000 0.000 0.500 x2
Ti: 0.000 0.324 0.500 x4
Mn: 0.000 0.500 0.000 x2
S: 0.242 0.500 0.735 x4
S: 0.250 0.165 0.745 x8